[1]
# MgSBrN2 | Alexandria | PBE-GGA | relaxed
data_MgSBrN2
_chemical_formula_sum 'Mg1 S1 Br1 N2'
_cell_length_a 4.134
_cell_length_b 4.134
_cell_length_c 5.611
_cell_angle_alpha 90.00
_cell_angle_beta 90.00
_cell_angle_gamma 90.00
_space_group_name_H-M_alt 'P 4/m m m'
_space_group_IT_number 123
_space_group_name_Hall '-P 4 2'
loop_
_atom_site_label
_atom_site_type_symbol
_atom_site_fract_x
_atom_site_fract_y
_atom_site_fract_z
Mg1 Mg 0.000 0.000 0.000
S1 S 0.000 0.000 0.500
Br1 Br 0.500 0.500 0.500
N1 N 0.000 0.500 0.000
# Total DFT energy (no corrections) (Ha/atom): -0.1252
# Relative energy among the computed polymorphs (eV per atom): 0.000
# E_form (uncorrected) (meV/atom): 1402.7
# Total magnetic moment (μB per atom): 0.889

---

[2]
# MgSBrN2 | Alexandria | PBE-GGA | relaxed
data_MgSBrN2
_chemical_formula_sum 'Mg1 S1 Br1 N2'
_cell_length_a 3.762
_cell_length_b 3.762
_cell_length_c 7.240
_cell_angle_alpha 90.00
_cell_angle_beta 90.00
_cell_angle_gamma 90.00
_space_group_name_H-M_alt 'P 4/m m m'
_space_group_IT_number 123
_space_group_name_Hall '-P 4 2'
loop_
_atom_site_label
_atom_site_type_symbol
_atom_site_fract_x
_atom_site_fract_y
_atom_site_fract_z
Mg1 Mg 0.000 0.000 0.000
S1 S 0.500 0.500 0.000
Br1 Br 0.500 0.500 0.500
N1 N 0.000 0.500 0.500
# Total DFT energy (no corrections) (Ha/atom): -0.1203
# Relative energy among the computed polymorphs (eV per atom): 0.133
# E_form (uncorrected) (meV/atom): 1536.2
# Total magnetic moment (μB per atom): 0.148

---

Question: Among the records above, which one has the lowest E_form (uncorrected)?
Answer: number 1

---

Question: Which of these has the highest total magnetic moment?
Answer: number 1

---

Please write out number 1 again, unchanged.
# MgSBrN2 | Alexandria | PBE-GGA | relaxed
data_MgSBrN2
_chemical_formula_sum 'Mg1 S1 Br1 N2'
_cell_length_a 4.134
_cell_length_b 4.134
_cell_length_c 5.611
_cell_angle_alpha 90.00
_cell_angle_beta 90.00
_cell_angle_gamma 90.00
_space_group_name_H-M_alt 'P 4/m m m'
_space_group_IT_number 123
_space_group_name_Hall '-P 4 2'
loop_
_atom_site_label
_atom_site_type_symbol
_atom_site_fract_x
_atom_site_fract_y
_atom_site_fract_z
Mg1 Mg 0.000 0.000 0.000
S1 S 0.000 0.000 0.500
Br1 Br 0.500 0.500 0.500
N1 N 0.000 0.500 0.000
# Total DFT energy (no corrections) (Ha/atom): -0.1252
# Relative energy among the computed polymorphs (eV per atom): 0.000
# E_form (uncorrected) (meV/atom): 1402.7
# Total magnetic moment (μB per atom): 0.889